Entry 1:
The following is a PBE calculation of a geometry-optimized RbAg2AsBr6 structure, from the Alexandria database.

Properties
Formation energy from raw total energies (eV per formula unit): -6.45
Magnetic moment (μB per atom): 0.00
Calculated total energy (eV per atom): -2.78

Cell: 7.3312 7.3343 8.8776 Å, 89.99 65.64 60.02°
Space group P1 (No. 1)
Asymmetric unit:
Rb (0.0000, 0.0000, 0.0000) (multiplicity 1)
Ag (0.4368, 0.7821, 0.3453) (multiplicity 1)
Ag (0.6575, 0.1717, 0.5140) (multiplicity 1)
As (0.9626, 0.5190, 0.5562) (multiplicity 1)
Br (0.1032, 0.7570, 0.3241) (multiplicity 1)
Br (0.1546, 0.5383, 0.7330) (multiplicity 1)
Br (0.4330, 0.1406, 0.3240) (multiplicity 1)
Br (0.5744, 0.8872, 0.7325) (multiplicity 1)
Br (0.8055, 0.3070, 0.7326) (multiplicity 1)
Br (0.8168, 0.4271, 0.3234) (multiplicity 1)

***

Entry 2:
The following is a PBE calculation of a geometry-optimized RbAgAsBr2 structure, from the Alexandria database.

Properties
Formation energy from raw total energies (eV per formula unit): -1.80
Energy relative to the lowest polymorph listed for this composition (meV/atom): 0
Magnetic moment (μB per atom): 0.40
Calculated total energy (eV per atom): -2.72

Cell: 5.7257 5.7257 5.0851 Å, 90.00 90.00 90.00°
Space group P4/mmm (No. 123)
Asymmetric unit:
Rb (0.0000, 0.0000, 0.0000) (multiplicity 1)
Ag (0.5000, 0.5000, 0.5000) (multiplicity 1)
As (0.5000, 0.5000, 0.0000) (multiplicity 1)
Br (0.0000, 0.5000, 0.5000) (multiplicity 2)

***

Entry 3:
The following is a PBE calculation of a geometry-optimized RbAgAsBr2 structure, from the Alexandria database.

Properties
Formation energy from raw total energies (eV per formula unit): 2.18
Energy relative to the lowest polymorph listed for this composition (meV/atom): 796
Magnetic moment (μB per atom): 0.62
Calculated total energy (eV per atom): -1.93

Cell: 6.4023 6.4023 6.4122 Å, 90.00 90.00 90.00°
Space group P4/mmm (No. 123)
Asymmetric unit:
Rb (0.0000, 0.0000, 0.0000) (multiplicity 1)
Ag (0.5000, 0.5000, 0.5000) (multiplicity 1)
As (0.0000, 0.0000, 0.5000) (multiplicity 1)
Br (0.0000, 0.5000, 0.0000) (multiplicity 2)

***

Entry 4:
The following is a PBE calculation of a geometry-optimized RbAgAsBr6 structure, from the Alexandria database.

Properties
Formation energy from raw total energies (eV per formula unit): -5.55
Magnetic moment (μB per atom): 0.12
Calculated total energy (eV per atom): -2.67

Cell: 7.1390 7.1390 7.6174 Å, 90.00 90.00 120.00°
Space group P312 (No. 149)
Asymmetric unit:
Rb (0.0000, 0.0000, 0.0000) (multiplicity 1)
Ag (0.3333, 0.6667, 0.5000) (multiplicity 1)
As (0.6667, 0.3333, 0.5000) (multiplicity 1)
Br (0.3860, 0.0108, 0.7075) (multiplicity 6)

***

Entry 5:
The following is a PBE calculation of a geometry-optimized ReAg2AsBr structure, from the Alexandria database.

Properties
Formation energy from raw total energies (eV per formula unit): 7.04
Magnetic moment (μB per atom): 0.24
Calculated total energy (eV per atom): -3.49

Cell: 5.2973 5.2973 4.5655 Å, 90.00 90.00 90.00°
Space group P4/mmm (No. 123)
Asymmetric unit:
Re (0.0000, 0.0000, 0.0000) (multiplicity 1)
Ag (0.0000, 0.5000, 0.0000) (multiplicity 2)
As (0.5000, 0.5000, 0.5000) (multiplicity 1)
Br (0.0000, 0.0000, 0.5000) (multiplicity 1)

***

Entry 6:
The following is a PBE calculation of a geometry-optimized ReAgAsBr2 structure, from the Alexandria database.

Properties
Formation energy from raw total energies (eV per formula unit): 7.02
Energy relative to the lowest polymorph listed for this composition (meV/atom): 772
Magnetic moment (μB per atom): 0.77
Calculated total energy (eV per atom): -3.25

Cell: 5.2247 5.2247 5.2596 Å, 90.00 90.00 90.00°
Space group P4/mmm (No. 123)
Asymmetric unit:
Re (0.0000, 0.0000, 0.0000) (multiplicity 1)
Ag (0.5000, 0.5000, 0.5000) (multiplicity 1)
As (0.5000, 0.5000, 0.0000) (multiplicity 1)
Br (0.0000, 0.5000, 0.5000) (multiplicity 2)

***

Entry 7:
The following is a PBE calculation of a geometry-optimized ReAgAsBr2 structure, from the Alexandria database.

Properties
Formation energy from raw total energies (eV per formula unit): 3.17
Energy relative to the lowest polymorph listed for this composition (meV/atom): 0
Magnetic moment (μB per atom): 0.31
Calculated total energy (eV per atom): -4.03

Cell: 5.2882 5.2882 4.7468 Å, 90.00 90.00 90.00°
Space group P4/mmm (No. 123)
Asymmetric unit:
Re (0.0000, 0.0000, 0.0000) (multiplicity 1)
Ag (0.5000, 0.5000, 0.5000) (multiplicity 1)
As (0.0000, 0.0000, 0.5000) (multiplicity 1)
Br (0.0000, 0.5000, 0.0000) (multiplicity 2)

***

Entry 8:
The following is a PBE calculation of a geometry-optimized AgAsRuBr2 structure, from the Alexandria database.

Properties
Formation energy from raw total energies (eV per formula unit): 1.85
Energy relative to the lowest polymorph listed for this composition (meV/atom): 0
Magnetic moment (μB per atom): 0.00
Calculated total energy (eV per atom): -3.65

Cell: 5.2789 5.2789 4.6104 Å, 90.00 90.00 90.00°
Space group P4/mmm (No. 123)
Asymmetric unit:
Ag (0.0000, 0.0000, 0.0000) (multiplicity 1)
As (0.5000, 0.5000, 0.0000) (multiplicity 1)
Ru (0.5000, 0.5000, 0.5000) (multiplicity 1)
Br (0.0000, 0.5000, 0.5000) (multiplicity 2)